This record from Alexandria via LeMat-Bulk describes crystalline MnCo3O at its relaxed geometry. The functional is PBE+U.

Cell lengths 3.8967, 3.8967, 3.8967 Å; angles 90.00, 90.00, 90.00 degrees
Last column: nearest neighbours and their distance in Å.
Fractional coordinates of all 5 atoms:
Co  0.0000  0.5000  0.0000  2 O 1.95
Co  0.0000  0.0000  0.5000  2 O 1.95
Co  0.5000  0.0000  0.0000  2 O 1.95
O  0.0000  0.0000  0.0000  6 Co 1.95
Mn  0.5000  0.5000  0.5000  12 Co 2.76

Properties
ΔE to the lowest computed polymorph (meV per atom): 0
Energy (eV per atom): -5.34
Volume (Å³ per cell): 59.2